Computed, not measured: crystalline Ca2Ga5Pd at its relaxed geometry at the PBE level of DFT.

Values from the calculation:
M_tot (μB per formula unit): 0.0
Density (kg/m3): 5377
Energy relative to the lowest polymorph listed for this composition (kcal/mol of atoms): 0.00
E_tot (eV per atom): -3.559
Fermi-level density of states (states/eV per atom): 0.328

```
data_Ca2Ga5Pd
_space_group_name_H-M_alt 'C m c m'
_space_group_IT_number 63
_space_group_name_Hall '-C 2c 2'
_cell_length_a 4.2584
_cell_length_b 16.7206
_cell_length_c 9.2841
_cell_angle_alpha 90.00
_cell_angle_beta 90.00
_cell_angle_gamma 90.00
loop_
_atom_site_label
_atom_site_type_symbol
_atom_site_fract_x
_atom_site_fract_y
_atom_site_fract_z
Ca1 Ca 0.0000 0.0000 0.0000
Ca2 Ca 0.0000 0.1952 0.2500
Ga1 Ga 0.0000 0.1910 0.6080
Ga2 Ga 0.0000 0.3556 0.5278
Ga3 Ga 0.0000 0.4066 0.2500
Pd1 Pd 0.0000 0.4443 0.7500
```